No. 1
Material: Ti2SbRu2
Method: DFT, PBE
State: relaxed

a = 7.3438 Å, b = 7.3438 Å, c = 3.0833 Å
α = 90.00°, β = 90.00°, γ = 90.00°
Last column: nearest neighbours and their distance in Å.
Fractional coordinates of all 10 atoms:
Ru (0.8625, 0.6375, 0.0000)  6 Ti 2.65, 2 Sb 2.85, 1 Ru 2.86
Ru (0.3625, 0.8625, 0.0000)  6 Ti 2.65, 2 Sb 2.85, 1 Ru 2.86
Ru (0.6375, 0.1375, 0.0000)  6 Ti 2.65, 2 Sb 2.85, 1 Ru 2.86
Ru (0.1375, 0.3625, 0.0000)  6 Ti 2.65, 2 Sb 2.85, 1 Ru 2.86
Ti (0.1549, 0.6549, 0.5000)  6 Ru 2.65
Ti (0.8451, 0.3451, 0.5000)  6 Ru 2.65
Ti (0.6549, 0.8451, 0.5000)  6 Ru 2.65
Ti (0.3451, 0.1549, 0.5000)  6 Ru 2.65
Sb (0.0000, 0.0000, 0.0000)  4 Ru 2.85, 2 Sb 3.08, 8 Ti 3.18
Sb (0.5000, 0.5000, 0.0000)  4 Ru 2.85, 2 Sb 3.08, 8 Ti 3.18

Summary:
DFT total energy   -8.041 eV/atom
V   16.63 Å³ per atom
ΔE_f (raw)   -0.348 eV per atom

***

No. 2
Material: TiSb2Ru
Method: DFT, PBE
State: relaxed

a = 4.3178 Å, b = 4.3178 Å, c = 9.5947 Å
α = 77.00°, β = 77.00°, γ = 90.00°
Last column: nearest neighbours and their distance in Å.
Fractional coordinates of all 8 atoms:
Ti (0.2500, 0.7500, 0.5000)  4 Sb 2.76, 4 Ru 3.05
Ti (0.5000, 0.5000, 0.0000)  4 Sb 2.76, 4 Ru 3.05
Sb (0.6378, 0.1250, 0.2500)  2 Ru 2.72, 2 Ti 2.76, 2 Sb 2.98
Sb (0.8750, 0.8878, 0.7500)  2 Ru 2.72, 2 Ti 2.76, 2 Sb 2.98
Sb (0.1122, 0.6250, 0.2500)  2 Ru 2.72, 2 Ti 2.76, 2 Sb 2.98
Sb (0.3750, 0.3622, 0.7500)  2 Ru 2.72, 2 Ti 2.76, 2 Sb 2.98
Ru (0.0000, 0.0000, 0.0000)  4 Sb 2.72
Ru (0.7500, 0.2500, 0.5000)  4 Sb 2.72

Summary:
DFT total energy   -6.174 eV/atom
V   21.20 Å³ per atom
ΔE_f (raw)   0.180 eV per atom

***

No. 3
Material: Ti3SbRu
Method: DFT, PBE
State: relaxed

a = 4.6958 Å, b = 4.6958 Å, c = 4.6958 Å
α = 90.00°, β = 90.00°, γ = 90.00°
Last column: nearest neighbours and their distance in Å.
Fractional coordinates of all 5 atoms:
Ti (0.5000, 0.0000, 0.0000)  2 Ru 2.35
Ti (0.0000, 0.0000, 0.5000)  2 Ru 2.35
Ti (0.0000, 0.5000, 0.0000)  2 Ru 2.35
Sb (0.5000, 0.5000, 0.5000)  12 Ti 3.32
Ru (0.0000, 0.0000, 0.0000)  6 Ti 2.35

Summary:
DFT total energy   -7.292 eV/atom
V   20.71 Å³ per atom
ΔE_f (raw)   0.124 eV per atom
Polymorph energy (0 for the lowest one)   0 meV/atom

***

No. 4
Material: Ti5Sb12Ru3
Method: DFT, PBE
State: relaxed

a = 13.8547 Å, b = 13.8547 Å, c = 13.8547 Å
α = 109.47°, β = 109.47°, γ = 109.47°
Last column: nearest neighbours and their distance in Å.
Fractional coordinates of all 80 atoms:
Sb (0.0631, 0.4321, 0.8273)  2 Ti 2.65-2.80, 1 Ru 2.71
Sb (0.6727, 0.2358, 0.6048)  2 Ti 2.65-2.80, 1 Ru 2.71
Sb (0.1310, 0.3952, 0.0679)  2 Ti 2.65-2.80, 1 Ru 2.71
Sb (0.5631, 0.2358, 0.1310)  2 Ti 2.65-2.80, 1 Ru 2.71
Sb (0.6727, 0.4369, 0.5679)  2 Ti 2.65-2.80, 1 Ru 2.71
Sb (0.8952, 0.8273, 0.7642)  2 Ti 2.65-2.80, 1 Ru 2.71
Sb (0.2642, 0.8690, 0.9369)  2 Ti 2.65-2.80, 1 Ru 2.71
Sb (0.6048, 0.7358, 0.6727)  2 Ti 2.65-2.80, 1 Ru 2.71
Sb (0.1727, 0.1048, 0.7358)  2 Ti 2.65-2.80, 1 Ru 2.71
Sb (0.2358, 0.6727, 0.1048)  2 Ti 2.65-2.80, 1 Ru 2.71
Sb (0.0631, 0.6310, 0.7358)  2 Ti 2.65-2.80, 1 Ru 2.71
Sb (0.9369, 0.5679, 0.1727)  2 Ti 2.65-2.80, 1 Ru 2.71
Sb (0.1048, 0.9321, 0.3690)  2 Ti 2.65-2.80, 1 Ru 2.71
Sb (0.8690, 0.2642, 0.4369)  2 Ti 2.65-2.80, 1 Ru 2.71
Sb (0.4321, 0.0631, 0.3273)  2 Ti 2.65-2.80, 1 Ru 2.71
Sb (0.5679, 0.9369, 0.6727)  2 Ti 2.65-2.80, 1 Ru 2.71
Sb (0.7358, 0.6048, 0.1727)  2 Ti 2.65-2.80, 1 Ru 2.71
Sb (0.1310, 0.7358, 0.5631)  2 Ti 2.65-2.80, 1 Ru 2.71
Sb (0.4369, 0.6727, 0.0679)  2 Ti 2.65-2.80, 1 Ru 2.71
Sb (0.5631, 0.3273, 0.9321)  2 Ti 2.65-2.80, 1 Ru 2.71
Sb (0.6048, 0.8690, 0.4321)  2 Ti 2.65-2.80, 1 Ru 2.71
Sb (0.3690, 0.9369, 0.7642)  2 Ti 2.65-2.80, 1 Ru 2.71
Sb (0.3952, 0.1310, 0.5679)  2 Ti 2.65-2.80, 1 Ru 2.71
Sb (0.8273, 0.8952, 0.2642)  2 Ti 2.65-2.80, 1 Ru 2.71
Sb (0.5679, 0.6310, 0.3952)  2 Ti 2.65-2.80, 1 Ru 2.71
Sb (0.9321, 0.1048, 0.8690)  2 Ti 2.65-2.80, 1 Ru 2.71
Sb (0.8690, 0.6048, 0.9321)  2 Ti 2.65-2.80, 1 Ru 2.71
Sb (0.6310, 0.5679, 0.8952)  2 Ti 2.65-2.80, 1 Ru 2.71
Sb (0.7642, 0.3273, 0.8952)  2 Ti 2.65-2.80, 1 Ru 2.71
Sb (0.3952, 0.2642, 0.3273)  2 Ti 2.65-2.80, 1 Ru 2.71
Sb (0.2358, 0.5631, 0.6310)  2 Ti 2.65-2.80, 1 Ru 2.71
Sb (0.3690, 0.4321, 0.1048)  2 Ti 2.65-2.80, 1 Ru 2.71
Sb (0.4321, 0.3690, 0.6048)  2 Ti 2.65-2.80, 1 Ru 2.71
Sb (0.1727, 0.0679, 0.9369)  2 Ti 2.65-2.80, 1 Ru 2.71
Sb (0.9321, 0.8273, 0.5631)  2 Ti 2.65-2.80, 1 Ru 2.71
Sb (0.8273, 0.9321, 0.0631)  2 Ti 2.65-2.80, 1 Ru 2.71
Sb (0.4369, 0.7642, 0.8690)  2 Ti 2.65-2.80, 1 Ru 2.71
Sb (0.8952, 0.0679, 0.6310)  2 Ti 2.65-2.80, 1 Ru 2.71
Sb (0.6310, 0.0631, 0.2358)  2 Ti 2.65-2.80, 1 Ru 2.71
Sb (0.0679, 0.8952, 0.1310)  2 Ti 2.65-2.80, 1 Ru 2.71
Sb (0.7358, 0.1310, 0.0631)  2 Ti 2.65-2.80, 1 Ru 2.71
Sb (0.1048, 0.1727, 0.2358)  2 Ti 2.65-2.80, 1 Ru 2.71
Sb (0.3273, 0.7642, 0.3952)  2 Ti 2.65-2.80, 1 Ru 2.71
Sb (0.2642, 0.3952, 0.8273)  2 Ti 2.65-2.80, 1 Ru 2.71
Sb (0.9369, 0.3690, 0.2642)  2 Ti 2.65-2.80, 1 Ru 2.71
Sb (0.0679, 0.1727, 0.4369)  2 Ti 2.65-2.80, 1 Ru 2.71
Sb (0.3273, 0.5631, 0.4321)  2 Ti 2.65-2.80, 1 Ru 2.71
Sb (0.7642, 0.4369, 0.3690)  2 Ti 2.65-2.80, 1 Ru 2.71
Ti (0.1250, 0.7500, 0.3750)  4 Sb 2.65
Ti (0.0000, 0.0000, 0.5000)  6 Sb 2.80
Ti (0.2500, 0.8750, 0.1250)  4 Sb 2.65
Ti (0.7500, 0.1250, 0.8750)  4 Sb 2.65
Ti (0.0000, 0.5000, 0.0000)  6 Sb 2.80
Ti (0.8750, 0.6250, 0.7500)  4 Sb 2.65
Ti (0.3750, 0.2500, 0.1250)  4 Sb 2.65
Ti (0.5000, 0.5000, 0.5000)  6 Sb 2.80
Ti (0.6250, 0.7500, 0.8750)  4 Sb 2.65
Ti (0.5000, 0.0000, 0.5000)  6 Sb 2.80
Ti (0.0000, 0.0000, 0.0000)  6 Sb 2.80
Ti (0.2500, 0.3750, 0.6250)  4 Sb 2.65
Ti (0.3750, 0.1250, 0.7500)  4 Sb 2.65
Ti (0.5000, 0.0000, 0.0000)  6 Sb 2.80
Ti (0.7500, 0.6250, 0.3750)  4 Sb 2.65
Ti (0.1250, 0.3750, 0.2500)  4 Sb 2.65
Ti (0.5000, 0.5000, 0.0000)  6 Sb 2.80
Ti (0.0000, 0.5000, 0.5000)  6 Sb 2.80
Ti (0.8750, 0.2500, 0.6250)  4 Sb 2.65
Ti (0.6250, 0.8750, 0.2500)  4 Sb 2.65
Ru (0.2500, 0.6250, 0.8750)  4 Sb 2.71
Ru (0.8750, 0.7500, 0.1250)  4 Sb 2.71
Ru (0.1250, 0.2500, 0.8750)  4 Sb 2.71
Ru (0.3750, 0.6250, 0.2500)  4 Sb 2.71
Ru (0.3750, 0.7500, 0.6250)  4 Sb 2.71
Ru (0.7500, 0.3750, 0.1250)  4 Sb 2.71
Ru (0.8750, 0.1250, 0.2500)  4 Sb 2.71
Ru (0.2500, 0.1250, 0.3750)  4 Sb 2.71
Ru (0.6250, 0.3750, 0.7500)  4 Sb 2.71
Ru (0.7500, 0.8750, 0.6250)  4 Sb 2.71
Ru (0.6250, 0.2500, 0.3750)  4 Sb 2.71
Ru (0.1250, 0.8750, 0.7500)  4 Sb 2.71

Summary:
DFT total energy   -5.632 eV/atom
V   25.59 Å³ per atom
ΔE_f (raw)   0.207 eV per atom

***

Repeat the second record exactly.
Material: TiSb2Ru
Method: DFT, PBE
State: relaxed

a = 4.3178 Å, b = 4.3178 Å, c = 9.5947 Å
α = 77.00°, β = 77.00°, γ = 90.00°
Last column: nearest neighbours and their distance in Å.
Fractional coordinates of all 8 atoms:
Ti (0.2500, 0.7500, 0.5000)  4 Sb 2.76, 4 Ru 3.05
Ti (0.5000, 0.5000, 0.0000)  4 Sb 2.76, 4 Ru 3.05
Sb (0.6378, 0.1250, 0.2500)  2 Ru 2.72, 2 Ti 2.76, 2 Sb 2.98
Sb (0.8750, 0.8878, 0.7500)  2 Ru 2.72, 2 Ti 2.76, 2 Sb 2.98
Sb (0.1122, 0.6250, 0.2500)  2 Ru 2.72, 2 Ti 2.76, 2 Sb 2.98
Sb (0.3750, 0.3622, 0.7500)  2 Ru 2.72, 2 Ti 2.76, 2 Sb 2.98
Ru (0.0000, 0.0000, 0.0000)  4 Sb 2.72
Ru (0.7500, 0.2500, 0.5000)  4 Sb 2.72

Summary:
DFT total energy   -6.174 eV/atom
V   21.20 Å³ per atom
ΔE_f (raw)   0.180 eV per atom